Sb2MoCl | meta-GGA SCAN | single point on PBEsol structure

Calculated density ... 7.63 g/cm³
Formation energy without anion corrections ... 0.6637 eV/atom
Final energy ... -114.730 eV for the cell shown

```
data_Sb2MoCl
_cell_length_a 3.211
_cell_length_b 4.771
_cell_length_c 5.324
_cell_angle_alpha 90.00
_cell_angle_beta 90.00
_cell_angle_gamma 90.00
_space_group_name_H-M_alt 'P m m m'
_space_group_IT_number 47
_space_group_name_Hall '-P 2 2'
loop_
_atom_site_label
_atom_site_type_symbol
_atom_site_fract_x
_atom_site_fract_y
_atom_site_fract_z
Sb1 Sb 0.000 0.000 0.000
Sb2 Sb 0.500 0.000 0.500
Mo1 Mo 0.000 0.500 0.500
Cl1 Cl 0.500 0.500 0.000
```